The following is a GGA-PBE calculation of a relaxed GePb3I crystal, from the Alexandria database.

Geometry as POSCAR:
```
GePb3I
1.0
5.708 0.000 0.000
0.000 5.708 0.000
0.000 0.000 5.708
Pb I Ge
3 1 1
Direct
0.000 0.500 0.000
0.000 0.000 0.500
0.500 0.000 0.000
0.500 0.500 0.500
0.000 0.000 0.000
```

Properties
Its symmetry is Pm-3m (221). The calculation puts the formation energy without anion corrections at 29.6 kJ/mol of atoms. The calculated total energy is -15.76 eV per formula unit. For the energy above the most stable polymorph in this dataset, the calculation gives 0.000 eV/atom. The value obtained for the density of states at the Fermi level is 6.1 states/eV/f.u. The value obtained for the mass density is 7.33 g/cm³.


The following is a GGA-PBE calculation of a relaxed SmYPb2O8 crystal, from the Alexandria database.

Geometry as POSCAR:
```
SmYPb2O8
1.0
5.627 0.000 0.000
0.000 5.627 0.000
-2.813 -2.813 5.344
Sm Y Pb O
1 1 2 8
Direct
0.000 0.000 0.000
0.750 0.250 0.500
0.500 0.500 0.000
0.250 0.750 0.500
0.803 0.858 0.200
0.397 0.342 0.200
0.603 0.637 0.694
0.091 0.057 0.694
0.943 0.397 0.306
0.363 0.909 0.306
0.142 0.603 0.800
0.658 0.197 0.800
```

Properties
Its symmetry is I-4 (82). The calculation puts the formation energy without anion corrections at -168.0 kJ/mol of atoms. The calculated total energy is -79.16 eV per formula unit. The value obtained for the density of states at the Fermi level is 2.6 states/eV/f.u. The value obtained for the mass density is 7.67 g/cm³.


The following is a GGA-PBE calculation of a relaxed Li5As2 crystal, from the Alexandria database.

Geometry as POSCAR:
```
Li5As2
1.0
5.081 0.000 -2.157
-1.166 5.767 -2.746
0.207 -0.018 7.551
Li As
10 4
Direct
0.082 0.234 0.164
0.918 0.766 0.836
0.582 0.930 0.164
0.418 0.070 0.836
0.489 0.739 0.478
0.011 0.261 0.522
0.511 0.261 0.522
0.989 0.739 0.478
0.750 0.500 0.000
0.250 0.500 0.000
0.376 0.632 0.751
0.624 0.368 0.249
0.876 0.119 0.751
0.124 0.881 0.249
```

Properties
Its symmetry is Ibam (72). The calculated total energy is -23.25 eV per formula unit. Its formation energy is -0.63 eV per atom. The value obtained for the density of states at the Fermi level is 2.9 states/eV/f.u. The value obtained for the mass density is 2.74 g/cm³.


The following is a GGA-PBE calculation of a relaxed TbPm6Th crystal, from the Alexandria database.

Geometry as POSCAR:
```
TbPm6Th
1.0
-4.751 -0.733 1.887
-2.539 -0.871 -6.730
1.273 -7.119 0.439
Tb Pm Th
1 6 1
Direct
0.500 0.125 0.875
0.500 0.125 0.375
0.500 0.625 0.875
0.000 0.379 0.129
0.000 0.871 0.621
0.000 0.380 0.620
0.000 0.870 0.130
0.500 0.625 0.375
```

Properties
Its symmetry is P4/mmm (123). The calculated total energy is -40.28 eV per formula unit. Its formation energy is 0.03 eV per atom. The value obtained for the density of states at the Fermi level is 11.0 states/eV/f.u. The value obtained for the mass density is 7.72 g/cm³.


The following is a GGA-PBE calculation of a relaxed RbIn2Ge2 crystal, from the Alexandria database.

Geometry as POSCAR:
```
RbIn2Ge2
1.0
4.993 0.000 0.000
0.000 4.993 0.000
0.000 0.000 11.274
Rb In Ge
2 4 4
Direct
0.500 0.000 0.246
0.000 0.500 0.754
0.500 0.500 0.500
0.000 0.000 0.500
0.000 0.500 0.126
0.500 0.000 0.874
0.000 0.500 0.372
0.500 0.000 0.628
0.500 0.500 0.000
0.000 0.000 0.000
```

Properties
Its symmetry is P4/nmm (129). The calculated total energy is -16.05 eV per formula unit. For the energy above the most stable polymorph in this dataset, the calculation gives 0.000 eV/atom. Its formation energy is -0.07 eV per atom. The value obtained for the density of states at the Fermi level is 1.0 states/eV/f.u. The value obtained for the mass density is 5.44 g/cm³.


The following is a GGA-PBE calculation of a relaxed CuRhS2 crystal, from the Alexandria database.

Geometry as POSCAR:
```
CuRhS2
1.0
12.713 0.000 0.750
3.347 3.140 -1.360
-3.347 3.140 1.360
S Rh Cu
4 2 2
Direct
0.193 0.200 0.592
0.693 0.908 0.300
0.316 0.580 0.212
0.816 0.288 0.920
0.254 0.595 0.607
0.754 0.893 0.905
0.255 0.171 0.184
0.755 0.316 0.329
```

Properties
Its symmetry is C2/c (15). The calculation puts the formation energy without anion corrections at -17.8 kJ/mol of atoms. The calculated total energy is -20.44 eV per formula unit. The value obtained for the density of states at the Fermi level is 2.1 states/eV/f.u. The value obtained for the mass density is 6.16 g/cm³.


The following is a GGA-PBE calculation of a relaxed AcPr2Te crystal, from the Alexandria database.

Geometry as POSCAR:
```
AcPr2Te
1.0
4.055 0.000 0.000
2.027 3.512 0.000
2.027 1.171 11.340
Pr Ac Te
2 1 1
Direct
0.106 0.106 0.681
0.894 0.894 0.319
0.000 0.000 0.000
0.500 0.500 0.500
```

Properties
Its symmetry is R-3m (166). The calculation puts the formation energy without anion corrections at -36.4 kJ/mol of atoms. The calculated total energy is -18.32 eV per formula unit. For the energy above the most stable polymorph in this dataset, the calculation gives 0.261 eV/atom. The value obtained for the density of states at the Fermi level is 5.9 states/eV/f.u. The value obtained for the mass density is 6.54 g/cm³.


The following is a GGA-PBE calculation of a relaxed Lu2PuN crystal, from the Alexandria database.

Geometry as POSCAR:
```
Lu2PuN
1.0
3.048 0.000 0.000
0.000 3.048 0.000
0.000 0.000 8.569
N Lu Pu
1 2 1
Direct
0.500 0.500 0.000
0.000 0.000 0.836
0.000 0.000 0.164
0.500 0.500 0.500
```

Properties
Its symmetry is P4/mmm (123). The calculation puts the formation energy without anion corrections at -21.0 kJ/mol of atoms. The calculated total energy is -32.57 eV per formula unit. The value obtained for the density of states at the Fermi level is 7.1 states/eV/f.u. The value obtained for the mass density is 12.68 g/cm³.


no.,magnetic moment (μB per cell)
1,0.0
2,2.0
3,0.0
4,0.0
5,0.0
6,0.0
7,0.7
8,6.3